[1]
## Nd3Rh (PBE-GGA)

Data for a geometry-optimized Nd3Rh structure.

Structure (CIF):
```
data_Nd3Rh
_space_group_name_H-M_alt 'P 42/n'
_space_group_IT_number 86
_cell_length_a 11.9942
_cell_length_b 11.9942
_cell_length_c 6.4925
_cell_angle_alpha 90.00
_cell_angle_beta 90.00
_cell_angle_gamma 90.00
loop_
_space_group_symop_operation_xyz
'x,y,z'
'-x,-y,-z'
'-y,x+1/2,z+1/2'
'y,-x+1/2,-z+1/2'
'-x+1/2,-y+1/2,z'
'x+1/2,y+1/2,-z'
'y+1/2,-x,z+1/2'
'-y+1/2,x,-z+1/2'
loop_
_atom_site_label
_atom_site_fract_x
_atom_site_fract_y
_atom_site_fract_z
Nd1 0.0355 0.9077 0.1996
Nd2 0.1148 0.8293 0.6950
Nd3 0.1200 0.3099 0.0182
Rh1 0.0654 0.3226 0.4970
```

Calculated values
As for the formation energy: -0.3559 eV per atom. The calculation puts the calculated density at 7.62 Mg/m³. Its electronic total energy is -5.770 eV/atom.



[2]
## NdRh3 (PBE-GGA)

Data for a geometry-optimized NdRh3 structure.

Structure (CIF):
```
data_NdRh3
_space_group_name_H-M_alt 'P 63/m m c'
_space_group_IT_number 194
_space_group_name_Hall '-P 6c 2c'
_cell_length_a 5.3272
_cell_length_b 5.3272
_cell_length_c 17.7166
_cell_angle_alpha 90.00
_cell_angle_beta 90.00
_cell_angle_gamma 120.00
loop_
_atom_site_label
_atom_site_fract_x
_atom_site_fract_y
_atom_site_fract_z
Nd1 0.3333 0.6667 0.0419
Nd2 0.3333 0.6667 0.2500
Rh1 0.0000 0.0000 0.0000
Rh2 0.0000 0.0000 0.2500
Rh3 0.1667 0.3333 0.6274
Rh4 0.3333 0.6667 0.7500
```

Calculated values
As for the formation energy: -0.5141 eV per atom. The calculation puts the calculated density at 10.36 Mg/m³. Its electronic total energy is -7.220 eV/atom.



[3]
## Nd4Rh3 (PBE-GGA)

Data for a geometry-optimized Nd4Rh3 structure.

Structure (CIF):
```
data_Nd4Rh3
_space_group_name_H-M_alt 'C 1 2/m 1'
_space_group_IT_number 12
_cell_length_a 14.0694
_cell_length_b 4.4413
_cell_length_c 6.2384
_cell_angle_alpha 90.00
_cell_angle_beta 108.84
_cell_angle_gamma 90.00
loop_
_space_group_symop_operation_xyz
'x,y,z'
'-x,-y,-z'
'-x,y,-z'
'x,-y,z'
'x+1/2,y+1/2,z'
'-x+1/2,-y+1/2,-z'
'-x+1/2,y+1/2,-z'
'x+1/2,-y+1/2,z'
loop_
_atom_site_label
_atom_site_fract_x
_atom_site_fract_y
_atom_site_fract_z
Nd1 0.0936 0.0000 0.2876
Nd2 0.1565 0.5000 0.7966
Rh1 0.0000 0.5000 0.0000
Rh2 0.2249 0.5000 0.2982
```

Calculated values
As for the formation energy: -0.5909 eV per atom. The calculation puts the calculated density at 7.97 Mg/m³. Its electronic total energy is -6.466 eV/atom.



[4]
## Nd5Rh4 (PBE-GGA)

Data for a geometry-optimized Nd5Rh4 structure.

Structure (CIF):
```
data_Nd5Rh4
_space_group_name_H-M_alt 'P n m a'
_space_group_IT_number 62
_cell_length_a 7.5511
_cell_length_b 14.9730
_cell_length_c 7.7151
_cell_angle_alpha 90.00
_cell_angle_beta 90.00
_cell_angle_gamma 90.00
loop_
_space_group_symop_operation_xyz
'x,y,z'
'-x,-y,-z'
'-x+1/2,-y,z+1/2'
'x+1/2,y,-z+1/2'
'x+1/2,-y+1/2,-z+1/2'
'-x+1/2,y+1/2,z+1/2'
'-x,y+1/2,-z'
'x,-y+1/2,z'
loop_
_atom_site_label
_atom_site_fract_x
_atom_site_fract_y
_atom_site_fract_z
Nd1 0.0110 0.0926 0.1803
Nd2 0.1619 0.1219 0.6678
Nd3 0.1760 0.7500 0.5136
Rh1 0.0421 0.7500 0.1026
Rh2 0.1787 0.5396 0.4669
Rh3 0.1983 0.2500 0.3557
```

Calculated values
As for the formation energy: -0.6544 eV per atom. The calculation puts the calculated density at 8.63 Mg/m³. Its electronic total energy is -6.571 eV/atom.



[5]
## NdRh6 (PBE-GGA)

Data for a geometry-optimized NdRh6 structure.

Structure (CIF):
```
data_NdRh6
_space_group_name_H-M_alt 'P n m a'
_space_group_IT_number 62
_cell_length_a 8.5289
_cell_length_b 5.2484
_cell_length_c 10.5067
_cell_angle_alpha 90.00
_cell_angle_beta 90.00
_cell_angle_gamma 90.00
loop_
_space_group_symop_operation_xyz
'x,y,z'
'-x,-y,-z'
'-x+1/2,-y,z+1/2'
'x+1/2,y,-z+1/2'
'x+1/2,-y+1/2,-z+1/2'
'-x+1/2,y+1/2,z+1/2'
'-x,y+1/2,-z'
'x,-y+1/2,z'
loop_
_atom_site_label
_atom_site_fract_x
_atom_site_fract_y
_atom_site_fract_z
Nd1 0.2421 0.2500 0.0604
Rh1 0.0614 0.0055 0.3064
Rh2 0.0613 0.7500 0.0839
Rh3 0.1097 0.2500 0.5189
Rh4 0.1516 0.7500 0.8447
Rh5 0.1836 0.2500 0.7657
```

Calculated values
As for the formation energy: -0.1885 eV per atom. The calculation puts the calculated density at 10.76 Mg/m³. Its electronic total energy is -7.171 eV/atom.



[6]
## Nd6Ru2Rh (PBE-GGA)

Data for a geometry-optimized Nd6Ru2Rh structure.

Structure (CIF):
```
data_Nd6Ru2Rh
_space_group_name_H-M_alt 'P 1 21/c 1'
_space_group_IT_number 14
_cell_length_a 6.8162
_cell_length_b 7.5162
_cell_length_c 12.0101
_cell_angle_alpha 90.00
_cell_angle_beta 123.92
_cell_angle_gamma 90.00
loop_
_space_group_symop_operation_xyz
'x,y,z'
'-x,-y,-z'
'-x,y+1/2,-z+1/2'
'x,-y+1/2,z+1/2'
loop_
_atom_site_label
_atom_site_fract_x
_atom_site_fract_y
_atom_site_fract_z
Nd1 0.0805 0.0573 0.2430
Nd2 0.2348 0.6723 0.0765
Nd3 0.3939 0.1722 0.0689
Ru1 0.3014 0.1109 0.7660
Rh1 0.5000 0.0000 0.5000
```

Calculated values
As for the formation energy: -0.2613 eV per atom. The calculation puts the calculated density at 7.61 Mg/m³. Its electronic total energy is -6.318 eV/atom.



[7]
## Nd6RuRh2 (PBE-GGA)

Data for a geometry-optimized Nd6RuRh2 structure.

Structure (CIF):
```
data_Nd6RuRh2
_space_group_name_H-M_alt 'P 1 21/c 1'
_space_group_IT_number 14
_cell_length_a 6.7734
_cell_length_b 7.4782
_cell_length_c 11.9951
_cell_angle_alpha 90.00
_cell_angle_beta 121.88
_cell_angle_gamma 90.00
loop_
_space_group_symop_operation_xyz
'x,y,z'
'-x,-y,-z'
'-x,y+1/2,-z+1/2'
'x,-y+1/2,z+1/2'
loop_
_atom_site_label
_atom_site_fract_x
_atom_site_fract_y
_atom_site_fract_z
Nd1 0.0895 0.0528 0.2516
Nd2 0.2485 0.6787 0.0742
Nd3 0.4052 0.1783 0.0690
Ru1 0.0000 0.0000 0.0000
Rh1 0.3124 0.1135 0.7607
```

Calculated values
As for the formation energy: -0.3892 eV per atom. The calculation puts the calculated density at 7.55 Mg/m³. Its electronic total energy is -6.232 eV/atom.



[8]
## Nd8RuRh2 (PBE-GGA)

Data for a geometry-optimized Nd8RuRh2 structure.

Structure (CIF):
```
data_Nd8RuRh2
_space_group_name_H-M_alt 'C 1 2/m 1'
_space_group_IT_number 12
_cell_length_a 13.1557
_cell_length_b 7.1612
_cell_length_c 7.4136
_cell_angle_alpha 90.00
_cell_angle_beta 90.10
_cell_angle_gamma 90.00
loop_
_space_group_symop_operation_xyz
'x,y,z'
'-x,-y,-z'
'-x,y,-z'
'x,-y,z'
'x+1/2,y+1/2,z'
'-x+1/2,-y+1/2,-z'
'-x+1/2,y+1/2,-z'
'x+1/2,-y+1/2,z'
loop_
_atom_site_label
_atom_site_fract_x
_atom_site_fract_y
_atom_site_fract_z
Nd1 0.0436 0.2471 0.2644
Nd2 0.2055 0.0000 0.6038
Nd3 0.2070 0.5000 0.8930
Ru1 0.0000 0.5000 0.0000
Rh1 0.1100 0.5000 0.5628
```

Calculated values
As for the formation energy: -0.2366 eV per atom. The calculation puts the calculated density at 6.95 Mg/m³. Its electronic total energy is -5.884 eV/atom.



[9]
## Nd6Ru2Rh (PBE-GGA)

Data for a geometry-optimized Nd6Ru2Rh structure.

Structure (CIF):
```
data_Nd6Ru2Rh
_space_group_name_H-M_alt 'C 1 2/c 1'
_space_group_IT_number 15
_cell_length_a 15.3478
_cell_length_b 10.4982
_cell_length_c 6.4209
_cell_angle_alpha 90.00
_cell_angle_beta 108.34
_cell_angle_gamma 90.00
loop_
_space_group_symop_operation_xyz
'x,y,z'
'-x,-y,-z'
'-x,y,-z+1/2'
'x,-y,z+1/2'
'x+1/2,y+1/2,z'
'-x+1/2,-y+1/2,-z'
'-x+1/2,y+1/2,-z+1/2'
'x+1/2,-y+1/2,z+1/2'
loop_
_atom_site_label
_atom_site_fract_x
_atom_site_fract_y
_atom_site_fract_z
Nd1 0.0968 0.0913 0.1182
Nd2 0.1043 0.4298 0.1588
Nd3 0.1766 0.2447 0.6963
Ru1 0.2423 0.0056 0.9825
Rh1 0.0000 0.2953 0.7500
```

Calculated values
As for the formation energy: -0.2600 eV per atom. The calculation puts the calculated density at 7.92 Mg/m³. Its electronic total energy is -6.317 eV/atom.



[10]
## Nd6RuRh (PBE-GGA)

Data for a geometry-optimized Nd6RuRh structure.

Structure (CIF):
```
data_Nd6RuRh
_space_group_name_H-M_alt 'R -3 m'
_space_group_IT_number 166
_space_group_name_Hall '-R 3 2"'
_cell_length_a 13.1503
_cell_length_b 13.1503
_cell_length_c 6.2448
_cell_angle_alpha 90.00
_cell_angle_beta 90.00
_cell_angle_gamma 120.00
loop_
_atom_site_label
_atom_site_fract_x
_atom_site_fract_y
_atom_site_fract_z
Nd1 0.1004 0.2009 0.2394
Ru1 0.0000 0.0000 0.0000
Rh1 0.0000 0.0000 0.5000
```

Calculated values
As for the formation energy: 0.0867 eV per atom. The calculation puts the calculated density at 5.70 Mg/m³. Its electronic total energy is -5.568 eV/atom.



[11]
## NdRuRh (PBE-GGA)

Data for a geometry-optimized NdRuRh structure.

Structure (CIF):
```
data_NdRuRh
_space_group_name_H-M_alt 'C 1 2/m 1'
_space_group_IT_number 12
_cell_length_a 8.7342
_cell_length_b 5.6559
_cell_length_c 4.9798
_cell_angle_alpha 90.00
_cell_angle_beta 107.50
_cell_angle_gamma 90.00
loop_
_space_group_symop_operation_xyz
'x,y,z'
'-x,-y,-z'
'-x,y,-z'
'x,-y,z'
'x+1/2,y+1/2,z'
'-x+1/2,-y+1/2,-z'
'-x+1/2,y+1/2,-z'
'x+1/2,-y+1/2,z'
loop_
_atom_site_label
_atom_site_fract_x
_atom_site_fract_y
_atom_site_fract_z
Nd1 0.1325 0.0000 0.3639
Ru1 0.0105 0.5000 0.2656
Rh1 0.2500 0.2500 0.0000
```

Calculated values
As for the formation energy: -0.1277 eV per atom. The calculation puts the calculated density at 9.86 Mg/m³. Its electronic total energy is -7.259 eV/atom.



[12]
## Nd4Ru2Rh (PBE-GGA)

Data for a geometry-optimized Nd4Ru2Rh structure.

Structure (CIF):
```
data_Nd4Ru2Rh
_space_group_name_H-M_alt 'C 1 c 1'
_space_group_IT_number 9
_cell_length_a 9.0179
_cell_length_b 13.0148
_cell_length_c 6.8985
_cell_angle_alpha 90.00
_cell_angle_beta 122.68
_cell_angle_gamma 90.00
loop_
_space_group_symop_operation_xyz
'x,y,z'
'x,-y,z+1/2'
'x+1/2,y+1/2,z'
'x+1/2,-y+1/2,z+1/2'
loop_
_atom_site_label
_atom_site_fract_x
_atom_site_fract_y
_atom_site_fract_z
Nd1 0.0000 0.0311 0.0000
Nd2 0.1241 0.3083 0.1099
Nd3 0.2955 0.3065 0.7265
Nd4 0.3902 0.0719 0.0171
Ru1 0.0000 0.1796 0.6995
Ru2 0.1791 0.4965 0.4604
Rh1 0.2234 0.1253 0.4709
```

Calculated values
As for the formation energy: -0.2756 eV per atom. The calculation puts the calculated density at 8.60 Mg/m³. Its electronic total energy is -6.700 eV/atom.



[13]
## Nd6RuRh2 (PBE-GGA)

Data for a geometry-optimized Nd6RuRh2 structure.

Structure (CIF):
```
data_Nd6RuRh2
_space_group_name_H-M_alt 'C 1 2/m 1'
_space_group_IT_number 12
_cell_length_a 13.9337
_cell_length_b 4.2226
_cell_length_c 9.9966
_cell_angle_alpha 90.00
_cell_angle_beta 113.64
_cell_angle_gamma 90.00
loop_
_space_group_symop_operation_xyz
'x,y,z'
'-x,-y,-z'
'-x,y,-z'
'x,-y,z'
'x+1/2,y+1/2,z'
'-x+1/2,-y+1/2,-z'
'-x+1/2,y+1/2,-z'
'x+1/2,-y+1/2,z'
loop_
_atom_site_label
_atom_site_fract_x
_atom_site_fract_y
_atom_site_fract_z
Nd1 0.0642 0.0000 0.3026
Nd2 0.1462 0.5000 0.0535
Nd3 0.1548 0.5000 0.6401
Ru1 0.0000 0.0000 0.0000
Rh1 0.2209 0.5000 0.3849
```

Calculated values
As for the formation energy: -0.3600 eV per atom. The calculation puts the calculated density at 7.23 Mg/m³. Its electronic total energy is -6.203 eV/atom.



[14]
## Nd8RuRh2 (PBE-GGA)

Data for a geometry-optimized Nd8RuRh2 structure.

Structure (CIF):
```
data_Nd8RuRh2
_space_group_name_H-M_alt 'C 1 2/m 1'
_space_group_IT_number 12
_cell_length_a 17.8184
_cell_length_b 5.1213
_cell_length_c 6.9169
_cell_angle_alpha 90.00
_cell_angle_beta 98.65
_cell_angle_gamma 90.00
loop_
_space_group_symop_operation_xyz
'x,y,z'
'-x,-y,-z'
'-x,y,-z'
'x,-y,z'
'x+1/2,y+1/2,z'
'-x+1/2,-y+1/2,-z'
'-x+1/2,y+1/2,-z'
'x+1/2,-y+1/2,z'
loop_
_atom_site_label
_atom_site_fract_x
_atom_site_fract_y
_atom_site_fract_z
Nd1 0.0384 0.0000 0.2817
Nd2 0.0863 0.5000 0.9248
Nd3 0.1645 0.5000 0.4589
Nd4 0.2001 0.0000 0.8399
Ru1 0.0000 0.5000 0.5000
Rh1 0.2115 0.0000 0.2420
```

Calculated values
As for the formation energy: -0.2960 eV per atom. The calculation puts the calculated density at 7.77 Mg/m³. Its electronic total energy is -5.943 eV/atom.



[15]
## Nd4RuRh2 (PBE-GGA)

Data for a geometry-optimized Nd4RuRh2 structure.

Structure (CIF):
```
data_Nd4RuRh2
_space_group_name_H-M_alt 'I 21 21 21'
_space_group_IT_number 24
_cell_length_a 8.8303
_cell_length_b 8.8316
_cell_length_c 8.8798
_cell_angle_alpha 90.00
_cell_angle_beta 90.00
_cell_angle_gamma 90.00
loop_
_space_group_symop_operation_xyz
'x,y,z'
'-x,-y+1/2,z'
'x,-y,-z+1/2'
'-x,y+1/2,-z+1/2'
'x+1/2,y+1/2,z+1/2'
'-x+1/2,-y,z+1/2'
'x+1/2,-y+1/2,-z'
'-x+1/2,y,-z'
loop_
_atom_site_label
_atom_site_fract_x
_atom_site_fract_y
_atom_site_fract_z
Nd1 0.0607 0.0608 0.0633
Nd2 0.1925 0.3081 0.6881
Ru1 0.0000 0.2500 0.3867
Rh1 0.1118 0.0000 0.7500
Rh2 0.2500 0.3767 0.0000
```

Calculated values
As for the formation energy: -0.4420 eV per atom. The calculation puts the calculated density at 8.48 Mg/m³. Its electronic total energy is -6.592 eV/atom.



[16]
## NdRuRh4S8 (PBE-GGA)

Data for a geometry-optimized NdRuRh4S8 structure.

Structure (CIF):
```
data_NdRuRh4S8
_space_group_name_H-M_alt 'R 3 m'
_space_group_IT_number 160
_space_group_name_Hall 'R 3 -2"'
_cell_length_a 7.2776
_cell_length_b 7.2776
_cell_length_c 17.6597
_cell_angle_alpha 90.00
_cell_angle_beta 90.00
_cell_angle_gamma 120.00
loop_
_atom_site_label
_atom_site_fract_x
_atom_site_fract_y
_atom_site_fract_z
Nd1 0.0000 0.0000 0.0000
Ru1 0.0000 0.0000 0.6213
Rh1 0.0000 0.0000 0.2494
Rh2 0.0036 0.5018 0.1246
S1 0.0000 0.0000 0.3855
S2 0.0000 0.0000 0.8517
S3 0.0600 0.5300 0.3804
S4 0.1820 0.3641 0.2039
```

Calculated values
The calculation puts the calculated density at 5.62 Mg/m³. Its electronic total energy is -5.977 eV/atom. Its formation energy from raw total energies is -0.515 eV per atom.



[17]
## NdScRuRh (PBE-GGA)

Data for a geometry-optimized NdScRuRh structure.

Structure (CIF):
```
data_NdScRuRh
_space_group_name_H-M_alt 'F -4 3 m'
_space_group_IT_number 216
_space_group_name_Hall 'F -4 2 3'
_cell_length_a 6.7549
_cell_length_b 6.7549
_cell_length_c 6.7549
_cell_angle_alpha 90.00
_cell_angle_beta 90.00
_cell_angle_gamma 90.00
loop_
_atom_site_label
_atom_site_fract_x
_atom_site_fract_y
_atom_site_fract_z
Nd1 0.0000 0.0000 0.0000
Sc1 0.0000 0.0000 0.5000
Ru1 0.2500 0.2500 0.2500
Rh1 0.2500 0.2500 0.7500
```

Calculated values
As for the formation energy: -0.5131 eV per atom. The calculation puts the calculated density at 8.47 Mg/m³. Its electronic total energy is -7.445 eV/atom.



[18]
## Nd2Si4RuRh3 (PBE-GGA)

Data for a geometry-optimized Nd2Si4RuRh3 structure.

Structure (CIF):
```
data_Nd2Si4RuRh3
_space_group_name_H-M_alt 'P -4 m 2'
_space_group_IT_number 115
_cell_length_a 4.1418
_cell_length_b 4.1418
_cell_length_c 10.0644
_cell_angle_alpha 90.00
_cell_angle_beta 90.00
_cell_angle_gamma 90.00
loop_
_space_group_symop_operation_xyz
'x,y,z'
'y,-x,-z'
'-x,-y,z'
'-y,x,-z'
'-x,y,z'
'-y,-x,-z'
'x,-y,z'
'y,x,-z'
loop_
_atom_site_label
_atom_site_fract_x
_atom_site_fract_y
_atom_site_fract_z
Nd1 0.0000 0.5000 0.2471
Si1 0.0000 0.5000 0.6249
Si2 0.0000 0.5000 0.8801
Ru1 0.5000 0.5000 0.0000
Rh1 0.0000 0.0000 0.0000
Rh2 0.0000 0.0000 0.5000
Rh3 0.5000 0.5000 0.5000
```

Calculated values
The calculation puts the calculated density at 7.80 Mg/m³. Its electronic total energy is -7.302 eV/atom. Its formation energy from raw total energies is -1.047 eV per atom.